# Pr6HoEr4 | the Alexandria database | PBE | relaxed
data_Pr6HoEr4
_chemical_formula_sum 'Pr12 Ho2 Er8'
_cell_length_a 6.841
_cell_length_b 6.841
_cell_length_c 16.387
_cell_angle_alpha 90.00
_cell_angle_beta 90.00
_cell_angle_gamma 90.00
_space_group_name_H-M_alt 'I -4 2 m'
_space_group_IT_number 121
_space_group_name_Hall 'I -4 2'
loop_
_atom_site_label
_atom_site_type_symbol
_atom_site_fract_x
_atom_site_fract_y
_atom_site_fract_z
_atom_site_occupancy
Pr1 Pr 0.000 0.500 0.000 1
Pr2 Pr 0.192 0.192 0.178 1
Ho1 Ho 0.000 0.000 0.000 1
Er1 Er 0.174 0.174 0.387 1
# formation energy from the elements: 3.27 eV/f.u.
# density of states at the Fermi level: 1.38 states/eV per atom